# 1
DFT (SCAN) results for YTa2Co at its PBEsol-relaxed geometry.

abc: 3.228 4.484 9.774
angles: 90.00 90.00 90.00
Space group Immm (No. 71)
Symmetry-distinct sites (fractional):
Y 0.000 0.000 0.000
Ta 0.000 0.500 0.230
Co 0.000 0.000 0.500

Results
E above lowest polymorph in meV/atom: 0.0
Crystal system: orthorhombic
Magnetization in μB/f.u.: 1.06
Energy of formation from the pure elements in eV per atom: 0.14

=====

# 2
DFT (SCAN) results for Y2TaCo at its PBEsol-relaxed geometry.

abc: 3.176 3.176 8.428
angles: 90.00 90.00 90.00
Space group P4mm (No. 99)
Symmetry-distinct sites (fractional):
Y 0.000 0.000 0.000
Y 0.500 0.500 0.364
Ta 0.500 0.500 0.735
Co 0.000 0.000 0.599

Results
Crystal system: tetragonal
Magnetization in μB/f.u.: 1.00
Energy of formation from the pure elements in eV per atom: 0.05

=====

# 3
DFT (SCAN) results for YTa2Co at its PBEsol-relaxed geometry.

abc: 3.049 3.049 7.669
angles: 90.00 90.00 90.00
Space group P4/mmm (No. 123)
Symmetry-distinct sites (fractional):
Y 0.000 0.000 0.000
Ta 0.500 0.500 0.308
Co 0.000 0.000 0.500

Results
E above lowest polymorph in meV/atom: 63.8
Crystal system: tetragonal
Magnetization in μB/f.u.: 1.92
Energy of formation from the pure elements in eV per atom: 0.21

=====

# 4
DFT (SCAN) results for TaZnCo2 at its PBEsol-relaxed geometry.

abc: 5.891 5.891 5.891
angles: 90.00 90.00 90.00
Space group F-43m (No. 216)
Symmetry-distinct sites (fractional):
Ta 0.000 0.000 0.000
Zn 0.250 0.250 0.750
Co 0.000 0.000 0.500
Co 0.250 0.250 0.250

Results
Crystal system: cubic
Magnetization in μB/f.u.: 3.19
Energy of formation from the pure elements in eV per atom: 0.06

=====

# 5
DFT (SCAN) results for TaZnCo2 at its PBEsol-relaxed geometry.

abc: 3.515 3.515 8.021
angles: 90.00 90.00 90.00
Space group I-4m2 (No. 119)
Symmetry-distinct sites (fractional):
Ta 0.000 0.000 0.000
Zn 0.000 0.500 0.750
Co 0.000 0.000 0.500
Co 0.000 0.500 0.250

Results
Crystal system: tetragonal
Magnetization in μB/f.u.: 0.00
Energy of formation from the pure elements in eV per atom: 0.01

=====

# 6
DFT (SCAN) results for TaZnCo2 at its PBEsol-relaxed geometry.

abc: 3.032 3.032 5.476
angles: 90.00 90.00 90.00
Space group P4/mmm (No. 123)
Symmetry-distinct sites (fractional):
Ta 0.000 0.000 0.000
Zn 0.000 0.000 0.500
Co 0.500 0.500 0.252

Results
Crystal system: tetragonal
Magnetization in μB/f.u.: 1.34
Energy of formation from the pure elements in eV per atom: -0.13